A relaxed structure of NaSmYTl. Source: Alexandria via LeMat-Bulk, functional GGA-PBE.

POSCAR file:
```
NaSmYTl
1.0
-1.9784 -4.0971 3.0156
-3.1434 -3.8181 -2.3097
1.9161 -5.0650 -0.6846
Sm Tl Na Y
1 1 1 1
Cartesian
-1.6029 -6.4901 0.0106
-0.8014 -3.2451 0.0053
-2.4043 -9.7352 0.0160
0.0000 0.0000 0.0000
```

Calculated values
final energy = -3.804 eV/atom
total magnetic moment = 0.00 μB/cell
SG = No. 216
formation energy = -0.087 eV/atom